# 1
First-principles (GGA-PBE) data for a geometry-optimized In2Fe structure, as listed in Alexandria.

Values from the calculation:
**Symmetry**: P6_3/mmc
**Formation energy from the elements**: 0.474 eV/atom

Cell: 4.819 4.819 6.064 Å, 90.00 90.00 120.00°
Fractional positions:
In1 0.000 0.000 0.000
In2 0.000 0.000 0.500
In3 0.333 0.667 0.250
In4 0.667 0.333 0.750
Fe1 0.333 0.667 0.750
Fe2 0.667 0.333 0.250

---

# 2
First-principles (GGA-PBE) data for a geometry-optimized NdThGaRu structure, as listed in Alexandria.

Values from the calculation:
**Symmetry**: F-43m
**Formation energy from the elements**: -0.292 eV/atom

Cell: 5.115 5.115 5.115 Å, 60.00 60.00 60.00°
Fractional positions:
Nd1 0.000 0.000 0.000
Th1 0.500 0.500 0.500
Ga1 0.250 0.250 0.250
Ru1 0.750 0.750 0.750

---

# 3
First-principles (GGA-PBE) data for a geometry-optimized Pr3Sm4Ho4 structure, as listed in Alexandria.

Values from the calculation:
**Symmetry**: Amm2
**Formation energy from the elements**: 0.154 eV/atom
**Offset from the most stable computed form**: 136 meV/atom

Cell: 10.765 6.703 6.703 Å, 50.91 90.00 90.00°
Fractional positions:
Pr1 0.000 0.000 0.000
Pr2 0.291 0.155 0.155
Pr3 0.709 0.155 0.155
Sm1 0.000 0.705 0.705
Sm2 0.214 0.497 0.497
Sm3 0.500 0.632 0.632
Sm4 0.786 0.497 0.497
Ho1 0.000 0.302 0.302
Ho2 0.301 0.850 0.850
Ho3 0.500 0.360 0.360
Ho4 0.699 0.850 0.850

---

# 4
First-principles (GGA-PBE) data for a geometry-optimized CeZr4Se8 structure, as listed in Alexandria.

Values from the calculation:
**Symmetry**: R-3m
**Formation energy without anion corrections**: -19.1 eV/f.u.

Cell: 8.138 8.138 8.138 Å, 55.58 55.58 55.58°
Fractional positions:
Ce1 0.000 0.000 0.000
Zr1 0.000 0.000 0.500
Zr2 0.000 0.500 0.000
Zr3 0.500 0.000 0.000
Zr4 0.500 0.500 0.500
Se1 0.244 0.244 0.244
Se2 0.256 0.742 0.742
Se3 0.258 0.258 0.744
Se4 0.258 0.744 0.258
Se5 0.742 0.256 0.742
Se6 0.742 0.742 0.256
Se7 0.744 0.258 0.258
Se8 0.756 0.756 0.756

---

# 5
First-principles (GGA-PBE) data for a geometry-optimized La2Tb3SmTe6 structure, as listed in Alexandria.

Values from the calculation:
**Symmetry**: C2/m
**Formation energy without anion corrections**: -17.0 eV/f.u.

Cell: 9.975 9.975 8.965 Å, 103.62 103.62 25.66°
Fractional positions:
La1 0.166 0.166 0.331
La2 0.834 0.834 0.669
Tb1 0.169 0.169 0.834
Tb2 0.500 0.500 0.500
Tb3 0.831 0.831 0.166
Sm1 0.500 0.500 0.000
Te1 0.005 0.005 0.748
Te2 0.333 0.333 0.928
Te3 0.337 0.337 0.409
Te4 0.663 0.663 0.591
Te5 0.667 0.667 0.072
Te6 0.995 0.995 0.252

---

# 6
First-principles (GGA-PBE) data for a geometry-optimized PmGe4Rh6 structure, as listed in Alexandria.

Values from the calculation:
**Symmetry**: P-6m2
**Formation energy from the elements**: -0.751 eV/atom

Cell: 7.228 7.228 3.872 Å, 90.00 90.00 120.00°
Fractional positions:
Pm1 0.000 0.000 0.000
Ge1 0.333 0.667 0.000
Ge2 0.396 0.198 0.500
Ge3 0.802 0.198 0.500
Ge4 0.802 0.604 0.500
Rh1 0.200 0.400 0.500
Rh2 0.200 0.800 0.500
Rh3 0.533 0.067 0.000
Rh4 0.533 0.467 0.000
Rh5 0.600 0.800 0.500
Rh6 0.933 0.467 0.000

---

# 7
First-principles (GGA-PBE) data for a geometry-optimized Cs2BOsCl6 structure, as listed in Alexandria.

Values from the calculation:
**Symmetry**: I4/mmm
**Formation energy without anion corrections**: -6.0 eV/f.u.

Cell: 7.477 7.477 7.477 Å, 124.41 124.41 82.51°
Fractional positions:
Cs1 0.250 0.750 0.500
Cs2 0.750 0.250 0.500
B1 0.000 0.000 0.000
Os1 0.500 0.500 0.000
Cl1 0.256 0.256 0.512
Cl2 0.256 0.744 0.000
Cl3 0.287 0.287 0.000
Cl4 0.713 0.713 0.000
Cl5 0.744 0.256 0.000
Cl6 0.744 0.744 0.488

---

# 8
First-principles (GGA-PBE) data for a geometry-optimized Dy5HoTl5 structure, as listed in Alexandria.

Values from the calculation:
**Symmetry**: C2/m
**Formation energy from the elements**: -0.100 eV/atom

Cell: 8.626 8.626 7.103 Å, 98.88 98.88 39.63°
Fractional positions:
Dy1 0.000 0.000 0.000
Dy2 0.325 0.325 0.585
Dy3 0.364 0.364 0.096
Dy4 0.636 0.636 0.904
Dy5 0.675 0.675 0.415
Ho1 0.000 0.000 0.500
Tl1 0.169 0.169 0.774
Tl2 0.175 0.175 0.229
Tl3 0.500 0.500 0.500
Tl4 0.825 0.825 0.771
Tl5 0.831 0.831 0.226

---

# 9
First-principles (GGA-PBE) data for a geometry-optimized Ce2ZrZn6 structure, as listed in Alexandria.

Values from the calculation:
**Symmetry**: P6/mmm
**Formation energy from the elements**: -0.265 eV/atom

Cell: 7.912 7.912 3.211 Å, 90.00 90.00 120.00°
Fractional positions:
Ce1 0.333 0.667 0.000
Ce2 0.667 0.333 0.000
Zr1 0.000 0.000 0.000
Zn1 0.000 0.323 0.500
Zn2 0.000 0.677 0.500
Zn3 0.323 0.000 0.500
Zn4 0.323 0.323 0.500
Zn5 0.677 0.000 0.500
Zn6 0.677 0.677 0.500

---

# 10
First-principles (GGA-PBE) data for a geometry-optimized NaPmMnBr6 structure, as listed in Alexandria.

Values from the calculation:
**Symmetry**: P-31c
**Formation energy without anion corrections**: -12.9 eV/f.u.

Cell: 7.137 7.137 13.419 Å, 90.00 90.00 120.00°
Fractional positions:
Na1 0.000 0.000 0.000
Na2 0.000 0.000 0.500
Pm1 0.333 0.667 0.250
Pm2 0.667 0.333 0.750
Mn1 0.333 0.667 0.750
Mn2 0.667 0.333 0.250
Br1 0.019 0.365 0.632
Br2 0.019 0.655 0.868
Br3 0.345 0.365 0.868
Br4 0.345 0.981 0.632
Br5 0.365 0.019 0.132
Br6 0.365 0.345 0.368
Br7 0.635 0.655 0.632
Br8 0.635 0.981 0.868
Br9 0.655 0.019 0.368
Br10 0.655 0.635 0.132
Br11 0.981 0.345 0.132
Br12 0.981 0.635 0.368

---

# 11
First-principles (GGA-PBE) data for a geometry-optimized EuTl2Au structure, as listed in Alexandria.

Values from the calculation:
**Symmetry**: P4/mmm
**Formation energy from the elements**: -0.335 eV/atom

Cell: 4.612 4.612 5.059 Å, 90.00 90.00 90.00°
Fractional positions:
Eu1 0.000 0.000 0.000
Tl1 0.000 0.500 0.500
Tl2 0.500 0.000 0.500
Au1 0.500 0.500 0.000

---

# 12
First-principles (GGA-PBE) data for a geometry-optimized Ga2Sn2Pt7 structure, as listed in Alexandria.

Values from the calculation:
**Symmetry**: C2/m
**Formation energy from the elements**: -0.360 eV/atom

Cell: 6.009 6.009 5.640 Å, 96.62 96.62 82.43°
Fractional positions:
Ga1 0.233 0.233 0.087
Ga2 0.767 0.767 0.913
Sn1 0.306 0.694 0.500
Sn2 0.694 0.306 0.500
Pt1 0.006 0.006 0.747
Pt2 0.063 0.482 0.753
Pt3 0.482 0.063 0.753
Pt4 0.500 0.500 0.000
Pt5 0.518 0.937 0.247
Pt6 0.937 0.518 0.247
Pt7 0.994 0.994 0.253

---

Number 1: calculated density 7.78 Mg/m³, final energy -12.52 eV/f.u.. Number 2: calculated density 9.60 Mg/m³, final energy -25.66 eV/f.u.. Number 3: calculated density 7.45 Mg/m³, final energy -49.84 eV/f.u.. Number 4: calculated density 5.52 Mg/m³, final energy -87.13 eV/f.u.. Number 5: calculated density 7.40 Mg/m³, final energy -64.36 eV/f.u.. Number 6: calculated density 9.98 Mg/m³, final energy -75.59 eV/f.u.. Number 7: calculated density 4.13 Mg/m³, final energy -36.73 eV/f.u.. Number 8: calculated density 9.98 Mg/m³, final energy -40.51 eV/f.u.. Number 9: calculated density 7.29 Mg/m³, final energy -30.44 eV/f.u.. Number 10: calculated density 3.94 Mg/m³, final energy -38.14 eV/f.u.. Number 11: calculated density 11.70 Mg/m³, final energy -19.62 eV/f.u.. Number 12: calculated density 14.51 Mg/m³, final energy -60.31 eV/f.u..